Density functional theory data (GGA-PBE) for a geometry-optimized HgBiMo2 structure.

a = 4.1480 Å, b = 4.1480 Å, c = 20.4142 Å
α = 90.00°, β = 90.00°, γ = 90.00°
Space group I-42d (No. 122)
One atom of each set of equivalent atoms:
Hg: 0.0000 0.0000 0.0000
Bi: 0.0000 0.0000 0.5000
Mo: 0.1788 0.2500 0.1250

ΔE to the lowest computed polymorph: 67 meV/atom
DFT formation energy: 0.89 eV/atom



Density functional theory data (GGA-PBE) for a geometry-optimized Er2Mg3Cd3 structure.

a = 4.5504 Å, b = 4.8310 Å, c = 8.7304 Å
α = 90.00°, β = 90.00°, γ = 90.00°
Space group Pmmm (No. 47)
One atom of each set of equivalent atoms:
Er: 0.0000 0.0000 0.2483
Mg: 0.0000 0.5000 0.5000
Mg: 0.5000 0.5000 0.2434
Cd: 0.0000 0.5000 0.0000
Cd: 0.5000 0.0000 0.0000
Cd: 0.5000 0.0000 0.5000

ΔE to the lowest computed polymorph: 54 meV/atom
DFT formation energy: -0.19 eV/atom



Density functional theory data (GGA-PBE) for a geometry-optimized FeCo2P structure.

a = 3.5746 Å, b = 3.5746 Å, c = 6.6543 Å
α = 90.00°, β = 90.00°, γ = 90.00°
Space group I4/mmm (No. 139)
One atom of each set of equivalent atoms:
Fe: 0.0000 0.0000 0.0000
Co: 0.0000 0.5000 0.2500
P: 0.0000 0.0000 0.5000

DFT formation energy: -0.17 eV/atom



Density functional theory data (GGA-PBE) for a geometry-optimized Mg4Cd6In structure.

a = 5.8282 Å, b = 5.8282 Å, c = 15.6722 Å
α = 90.00°, β = 90.00°, γ = 90.00°
Space group I-42m (No. 121)
One atom of each set of equivalent atoms:
Mg: 0.1978 0.1978 0.3206
Cd: 0.0000 0.5000 0.0000
Cd: 0.1885 0.1885 0.1347
In: 0.0000 0.0000 0.5000

ΔE to the lowest computed polymorph: 0 meV/atom
DFT formation energy: 0.02 eV/atom



Density functional theory data (GGA-PBE) for a geometry-optimized TbNd6Tm8 structure.

a = 9.0354 Å, b = 9.0354 Å, c = 20.8617 Å
α = 90.00°, β = 90.00°, γ = 120.00°
Space group R-3 (No. 148, hexagonal axes)
One atom of each set of equivalent atoms:
Tb: 0.0000 0.0000 0.0000
Nd: 0.0632 0.8142 0.7113
Tm: 0.0000 0.0000 0.4234
Tm: 0.0805 0.5229 0.8076

DFT formation energy: 0.12 eV/atom



Density functional theory data (GGA-PBE) for a geometry-optimized Er7Al2Cu2 structure.

a = 7.7673 Å, b = 10.8913 Å, c = 6.8646 Å
α = 90.00°, β = 90.00°, γ = 90.00°
Space group Cmmm (No. 65)
One atom of each set of equivalent atoms:
Er: 0.0000 0.0000 0.0000
Er: 0.0000 0.5000 0.2509
Er: 0.2500 0.2500 0.2614
Al: 0.1673 0.0000 0.5000
Cu: 0.0000 0.2954 0.0000

DFT formation energy: -0.04 eV/atom



Density functional theory data (GGA-PBE) for a geometry-optimized Ca2SbRh structure.

a = 4.7829 Å, b = 4.7829 Å, c = 15.1825 Å
α = 90.00°, β = 90.00°, γ = 120.00°
Space group R3m (No. 160, hexagonal axes)
One atom of each set of equivalent atoms:
Ca: 0.0000 0.0000 0.0000
Ca: 0.0000 0.0000 0.2067
Sb: 0.0000 0.0000 0.4361
Rh: 0.0000 0.0000 0.7884

ΔE_f (raw): -0.6236 eV per atom



Density functional theory data (GGA-PBE) for a geometry-optimized PrFeSi3Ir structure.

a = 7.0940 Å, b = 11.3356 Å, c = 5.5390 Å
α = 90.00°, β = 90.00°, γ = 90.00°
Space group Cmcm (No. 63)
One atom of each set of equivalent atoms:
Pr: 0.0000 0.2400 0.2500
Fe: 0.0000 0.0459 0.7500
Si: 0.0000 0.2291 0.7500
Si: 0.2449 0.0000 0.0000
Ir: 0.0000 0.4244 0.7500

ΔE_f (raw): -0.4548 eV per atom



Number 1: calculated density 11.37 g/cm³, density of states at the Fermi level 14.4 states/eV per cell. Number 2: calculated density 6.44 g/cm³, density of states at the Fermi level 5.5 states/eV per cell. Number 3: calculated density 7.99 g/cm³, density of states at the Fermi level 8.4 states/eV per cell. Number 4: calculated density 5.53 g/cm³, density of states at the Fermi level 6.7 states/eV per cell. Number 5: calculated density 8.02 g/cm³, density of states at the Fermi level 66.2 states/eV per cell. Number 6: calculated density 7.73 g/cm³, density of states at the Fermi level 20.4 states/eV per cell. Number 7: calculated density 5.05 g/cm³, density of states at the Fermi level 5.1 states/eV per cell. Number 8: calculated density 7.06 g/cm³, density of states at the Fermi level 12.9 states/eV per cell.